Entry from the Alexandria database: crystalline MnPIO2 at its relaxed geometry (PBE with a Hubbard U).

Calculated values
DOS at the Fermi energy = 0.233 states/eV per atom
energy above the most stable polymorph in this dataset = 1.584 eV/f.u.

Cell: 4.0058 4.0058 5.4919 Å, 90.00 90.00 90.00°
With the nearest neighbours (Å) after each atom.
Space group P4/mmm (No. 123)
Asymmetric unit:
Mn: 0.0000 0.0000 0.0000 (multiplicity 1)  4 P 2.83
P: 0.5000 0.5000 0.0000 (multiplicity 1)  2 I 2.75, 4 Mn 2.83
I: 0.5000 0.5000 0.5000 (multiplicity 1)  4 O 2.00
O: 0.0000 0.5000 0.5000 (multiplicity 2)  2 I 2.00